Entry 1:
This record from Alexandria describes a relaxed PrHo2NbN4 crystal. The functional is PBE-GGA.

a b c (Å): 6.2382 6.2382 12.0928
angles (deg): 90.00 90.00 148.14
Sites, in units of the cell vectors:
Pr 0.0969 0.9031 0.7500
Pr 0.9031 0.0969 0.2500
Ho 0.3709 0.6291 0.5352
Ho 0.3709 0.6291 0.9648
Ho 0.6291 0.3709 0.0352
Ho 0.6291 0.3709 0.4648
Nb 0.1636 0.8364 0.2500
Nb 0.8364 0.1636 0.7500
N 0.0000 0.0000 0.0000
N 0.0000 0.0000 0.5000
N 0.2599 0.7401 0.1189
N 0.2599 0.7401 0.3811
N 0.4418 0.5582 0.7500
N 0.5582 0.4418 0.2500
N 0.7401 0.2599 0.6189
N 0.7401 0.2599 0.8811

Calculated values
* total magnetic moment: 0.00 μB/cell
* calculated total energy: -8.43 eV per atom

=====

Entry 2:
This record from Alexandria describes a relaxed Ho2Pu3NbN6 crystal. The functional is PBE-GGA.

a b c (Å): 5.8997 5.8997 5.8576
angles (deg): 99.66 99.66 119.96
Sites, in units of the cell vectors:
Ho 0.1668 0.8332 0.0000
Ho 0.8332 0.1668 0.0000
Pu 0.0000 0.0000 0.5000
Pu 0.3334 0.6666 0.5000
Pu 0.6666 0.3334 0.5000
Nb 0.5000 0.5000 0.0000
N 0.1032 0.4191 0.7578
N 0.2646 0.2646 0.2452
N 0.4191 0.1032 0.7578
N 0.5809 0.8968 0.2422
N 0.7354 0.7354 0.7548
N 0.8968 0.5809 0.2422

Calculated values
* total magnetic moment: 13.99 μB/cell
* calculated total energy: -10.74 eV per atom

=====

Entry 3:
This record from Alexandria describes a relaxed Ho2PuNbN4 crystal. The functional is PBE-GGA.

a b c (Å): 5.7969 3.3586 5.8180
angles (deg): 90.00 109.09 90.00
Sites, in units of the cell vectors:
Ho 0.0000 0.0000 0.0000
Ho 0.5000 0.5000 0.0000
Pu 0.0000 0.5000 0.5000
Nb 0.5000 0.0000 0.5000
N 0.2560 0.0000 0.7388
N 0.2632 0.5000 0.2667
N 0.7368 0.5000 0.7333
N 0.7440 0.0000 0.2612

Calculated values
* total magnetic moment: 4.56 μB/cell
* calculated total energy: -9.79 eV per atom

=====

Entry 4:
This record from Alexandria describes a relaxed HoPu2NbN4 crystal. The functional is PBE-GGA.

a b c (Å): 5.8106 3.3674 5.8540
angles (deg): 90.00 109.37 90.00
Sites, in units of the cell vectors:
Ho 0.0000 0.0000 0.0000
Pu 0.5000 0.0000 0.5000
Pu 0.5000 0.5000 0.0000
Nb 0.0000 0.5000 0.5000
N 0.2358 0.0000 0.7324
N 0.2428 0.5000 0.2628
N 0.7572 0.5000 0.7372
N 0.7642 0.0000 0.2676

Calculated values
* total magnetic moment: 9.16 μB/cell
* calculated total energy: -10.91 eV per atom